1.
Entry from Alexandria via LeMat-Bulk: crystalline MgPaHgSb at its relaxed geometry (PBE-GGA).

abc: 7.331 7.331 7.331
angles: 90.00 90.00 90.00
Space group F-43m (No. 216)
Inequivalent atoms, fractional coordinates:
Mg  0.000  0.000  0.000 [4 per cell]
Pa  0.000  0.000  0.500 [4 per cell]
Hg  0.250  0.250  0.250 [4 per cell]
Sb  0.250  0.250  0.750 [4 per cell]

DFT total energy: -4.01 eV per atom

***

2.
Entry from Alexandria via LeMat-Bulk: crystalline MgPaSnHg at its relaxed geometry (PBE-GGA).

abc: 7.309 7.309 7.309
angles: 90.00 90.00 90.00
Space group F-43m (No. 216)
Inequivalent atoms, fractional coordinates:
Mg  0.000  0.000  0.000 [4 per cell]
Pa  0.000  0.000  0.500 [4 per cell]
Sn  0.250  0.250  0.250 [4 per cell]
Hg  0.250  0.250  0.750 [4 per cell]

Energy of formation: -0.0684 eV/atom

***

| no. | V (Å³ per cell) |
| --- | --- |
| 1 | 394.0 |
| 2 | 390.4 |